(1)
GGA-PBE Eu2HgTe, relaxed; space group = R-3m (166); offset from the most stable computed form = 17.1 meV per atom
1.0
-1.5593 -4.1940 -0.3076
1.4566 -2.6998 -3.2719
5.8699 -4.8396 3.5326
Eu Te Hg
2 1 1
direct
0.2527 0.2527 0.2420 Eu
0.7473 0.7473 0.7580 Eu
0.0000 0.0000 0.0000 Te
0.5000 0.5000 0.5000 Hg

(2)
GGA-PBE Tb2H5Rh2, relaxed; DFT total energy = -92.36 eV per cell; space group = C2/c (15)
1.0
5.1246 0.0000 0.0000
0.0000 5.0894 -0.0039
-2.5623 -2.5503 7.3585
Tb H Rh
4 10 4
direct
0.1300 0.6396 0.2604 Tb
0.8700 0.3794 0.7396 Tb
0.6305 0.1396 0.2604 Tb
0.3695 0.8794 0.7396 Tb
0.2510 0.7610 0.0019 H
0.7490 0.7589 0.9981 H
0.2509 0.2610 0.0019 H
0.7491 0.2589 0.9981 H
0.1400 0.1356 0.2527 H
0.8601 0.8834 0.7473 H
0.6128 0.6356 0.2527 H
0.3872 0.3834 0.7473 H
0.0000 0.5091 0.5000 H
0.0000 0.0091 0.5000 H
0.0000 0.0099 0.0000 Rh
0.5000 0.5099 0.0000 Rh
0.2802 0.2590 0.5000 Rh
0.7198 0.7590 0.5000 Rh

(3)
GGA-PBE Ca2HfFe, relaxed; ΔH_f (0 K) = 1.016 eV/atom; space group = Fm-3m (225)
1.0
-2.6990 0.6236 4.2916
-0.6679 4.6777 1.9401
-4.6044 2.2045 -0.1762
Ca Hf Fe
2 1 1
direct
0.2500 0.2500 0.2500 Ca
0.7500 0.7500 0.7500 Ca
0.5000 0.5000 0.5000 Hf
0.0000 0.0000 0.0000 Fe

(4)
GGA-PBE BaNaY2, relaxed; ΔH_f (0 K) = 0.436 eV/atom; space group = Fm-3m (225); offset from the most stable computed form = 0.0 meV per atom
1.0
0.0000 4.2262 4.2262
4.2262 0.0000 4.2262
4.2262 4.2262 0.0000
Y Na Ba
2 1 1
direct
0.2500 0.2500 0.2500 Y
0.7500 0.7500 0.7500 Y
0.0000 0.0000 0.0000 Na
0.5000 0.5000 0.5000 Ba

(5)
GGA-PBE Sr2InBi3Pd4, relaxed; ΔH_f (0 K) = -0.596 eV/atom; space group = P-4m2 (115)
1.0
4.7877 0.0000 0.0000
0.0000 4.7877 0.0000
0.0000 0.0000 11.1260
Sr In Bi Pd
2 1 3 4
direct
0.5000 0.0000 0.2376 Sr
0.0000 0.5000 0.7624 Sr
0.5000 0.5000 0.5000 In
0.0000 0.0000 0.5000 Bi
0.5000 0.0000 0.8727 Bi
0.0000 0.5000 0.1273 Bi
0.5000 0.5000 0.0000 Pd
0.0000 0.0000 0.0000 Pd
0.5000 0.0000 0.6282 Pd
0.0000 0.5000 0.3718 Pd

(6)
GGA-PBE Y6MgAg, relaxed; ΔH_f (0 K) = 0.019 eV/atom; space group = R-3 (148)
1.0
-6.6487 4.2891 -4.3247
-7.9292 -2.9000 -0.0917
-5.4418 2.5293 1.4710
Y Mg Ag
6 1 1
direct
0.0263 0.4516 0.7667 Y
0.7554 0.9742 0.7215 Y
0.5486 0.2444 0.1804 Y
0.2446 0.0258 0.2785 Y
0.9737 0.5484 0.2333 Y
0.4514 0.7556 0.8196 Y
0.5000 0.5000 0.5000 Mg
0.0000 0.0000 0.0000 Ag

(7)
GGA-PBE Pm12Tl5Cd2, relaxed; ΔH_f (0 K) = -0.117 eV/atom; space group = C2/m (12)
1.0
-6.7178 -1.0773 3.2958
6.3320 -6.7627 2.0256
3.2377 3.8556 7.8596
Pm Tl Cd
12 5 2
direct
0.9602 0.9204 0.1902 Pm
0.0735 0.6717 0.9121 Pm
0.5982 0.6717 0.9121 Pm
0.1021 0.7000 0.4973 Pm
0.5979 0.7000 0.4973 Pm
0.4908 0.9816 0.6881 Pm
0.5092 0.0184 0.3119 Pm
0.8979 0.3000 0.5027 Pm
0.4021 0.3000 0.5027 Pm
0.9265 0.3283 0.0879 Pm
0.4018 0.3283 0.0879 Pm
0.0398 0.0796 0.8098 Pm
0.2298 0.4596 0.7473 Tl
0.3101 0.6202 0.2260 Tl
0.0000 0.0000 0.5000 Tl
0.6899 0.3798 0.7740 Tl
0.7702 0.5404 0.2527 Tl
0.6770 0.0000 0.0000 Cd
0.3230 0.0000 0.0000 Cd

(8)
GGA-PBE Zr2ScPd3, relaxed; ΔH_f (0 K) = -0.682 eV/atom; space group = Cmmm (65); offset from the most stable computed form = 0.0 meV per atom
1.0
4.6156 0.0000 0.0191
2.3078 6.9005 0.0095
-0.0268 0.0000 7.0125
Zr Sc Pd
4 2 6
direct
0.0000 0.0000 0.0000 Zr
0.0000 0.0000 0.5000 Zr
0.3343 0.3313 0.5000 Zr
0.6657 0.6687 0.5000 Zr
0.3317 0.3365 0.0000 Sc
0.6683 0.6635 0.0000 Sc
0.8333 0.3336 0.7592 Pd
0.4992 0.0000 0.2331 Pd
0.1667 0.6664 0.2408 Pd
0.8331 0.3336 0.2408 Pd
0.1669 0.6664 0.7592 Pd
0.5008 0.0000 0.7669 Pd

(9)
GGA-PBE MnBeTl2, relaxed; ΔH_f (0 K) = 0.688 eV/atom; space group = P2/m (10); offset from the most stable computed form = 260.0 meV per atom
1.0
4.1580 0.0000 0.0000
0.0000 3.2203 0.0166
0.0000 0.7503 6.0434
Be Tl Mn
1 2 1
direct
0.5000 0.2500 0.2500 Be
0.0000 0.0848 0.0085 Tl
0.0000 0.4152 0.4915 Tl
0.5000 0.7500 0.7500 Mn

(10)
GGA-PBE AcPrDy6, relaxed; ΔH_f (0 K) = 0.040 eV/atom; space group = P4/mmm (123); offset from the most stable computed form = 0.0 meV per atom
1.0
5.1172 0.0000 0.0000
0.0000 5.1172 0.0000
0.0000 0.0000 10.2357
Ac Pr Dy
1 1 6
direct
0.0000 0.0000 0.0000 Ac
0.0000 0.0000 0.5000 Pr
0.5000 0.5000 0.0000 Dy
0.5000 0.5000 0.5000 Dy
0.5000 0.0000 0.2556 Dy
0.5000 0.0000 0.7444 Dy
0.0000 0.5000 0.2556 Dy
0.0000 0.5000 0.7444 Dy

(11)
GGA-PBE Sc6Tl5Bi, relaxed; ΔH_f (0 K) = -0.278 eV/atom; space group = C2/m (12)
1.0
-3.5605 -1.2110 -2.8536
5.4958 -6.5854 -0.1678
-3.4309 0.8436 7.8177
Sc Tl Bi
6 5 1
direct
0.2498 0.0827 0.4167 Sc
0.7502 0.5833 0.9173 Sc
0.7502 0.2503 0.2503 Sc
0.2498 0.7497 0.7497 Sc
0.2498 0.4167 0.0827 Sc
0.7502 0.9173 0.5833 Sc
0.5000 0.1734 0.8266 Tl
0.0000 0.3347 0.6653 Tl
0.5000 0.5000 0.5000 Tl
0.0000 0.6653 0.3347 Tl
0.5000 0.8266 0.1734 Tl
0.0000 0.0000 0.0000 Bi

(12)
GGA-PBE Sm3Ga6Pd5, relaxed; ΔH_f (0 K) = -0.801 eV/atom; space group = Pmmn (59)
1.0
-0.7690 3.4038 2.6038
5.4687 -3.7497 6.5167
10.2646 6.1857 -5.0547
Sm Ga Pd
6 12 10
direct
0.0000 0.2492 0.6975 Sm
0.5000 0.7508 0.1975 Sm
0.5000 0.7508 0.8025 Sm
0.0000 0.2503 0.0000 Sm
0.5000 0.7497 0.5000 Sm
0.0000 0.2492 0.3025 Sm
0.0000 0.9784 0.8483 Ga
0.5000 0.0216 0.6517 Ga
0.5000 0.4067 0.8213 Ga
0.5000 0.5754 0.0000 Ga
0.0000 0.4246 0.5000 Ga
0.0000 0.5933 0.6787 Ga
0.0000 0.5933 0.3213 Ga
0.5000 0.9600 0.0000 Ga
0.0000 0.9784 0.1517 Ga
0.5000 0.4067 0.1787 Ga
0.0000 0.0400 0.5000 Ga
0.5000 0.0216 0.3483 Ga
0.0000 0.5311 0.8845 Pd
0.0000 0.8710 0.6578 Pd
0.0000 0.7916 0.0000 Pd
0.5000 0.4689 0.6155 Pd
0.5000 0.2084 0.5000 Pd
0.0000 0.5311 0.1155 Pd
0.5000 0.4689 0.3845 Pd
0.0000 0.8710 0.3422 Pd
0.5000 0.1290 0.8422 Pd
0.5000 0.1290 0.1578 Pd

(13)
GGA-PBE CoTcS3, relaxed; DFT total energy = -26.07 eV per cell; space group = Pm-3m (221)
1.0
-2.1997 3.0035 2.7307
-4.0557 -1.4960 -1.6216
-0.1701 -3.1713 3.3511
S Co Tc
3 1 1
direct
0.0000 0.5000 0.0000 S
0.0000 0.0000 0.5000 S
0.5000 0.0000 0.0000 S
0.5000 0.5000 0.5000 Co
0.0000 0.0000 0.0000 Tc

(14)
GGA-PBE TmAlZn2Au4, relaxed; ΔH_f (0 K) = -0.466 eV/atom; space group = R-3m (166)
1.0
-2.7006 -2.7351 -2.3570
-3.1757 -2.4028 2.1144
-7.3186 4.4660 -1.1096
Tm Al Zn Au
1 1 2 4
direct
0.0000 0.0000 0.0000 Tm
0.5000 0.5000 0.5000 Al
0.7480 0.7480 0.7560 Zn
0.2520 0.2520 0.2440 Zn
0.3921 0.3921 0.8236 Au
0.8682 0.8682 0.3953 Au
0.1318 0.1318 0.6047 Au
0.6079 0.6079 0.1764 Au

(15)
GGA-PBE SrIn2Fe, relaxed; ΔH_f (0 K) = 0.163 eV/atom; space group = Immm (71)
1.0
5.9211 0.0374 0.0058
2.1034 5.5350 -0.0058
-3.3312 -3.7670 3.1263
Fe In Sr
1 2 1
direct
0.2500 0.7500 0.5000 Fe
0.0428 0.0428 0.0000 In
0.4572 0.4572 0.0000 In
0.7500 0.2500 0.5000 Sr

(16)
GGA-PBE Li3Tb2TmSe6, relaxed; DFT total energy = -60.73 eV per cell; space group = C2/m (12)
1.0
7.0419 -0.0013 0.0007
-3.5204 6.0988 0.0007
-1.1746 -2.0338 6.4954
Li Tb Tm Se
3 2 1 6
direct
0.1661 0.8339 0.5000 Li
0.8339 0.1661 0.5000 Li
0.5000 0.5000 0.5000 Li
0.3333 0.6667 0.0000 Tb
0.6667 0.3333 0.0000 Tb
0.0000 0.0000 0.0000 Tm
0.9156 0.5865 0.7469 Se
0.7550 0.7550 0.2523 Se
0.0844 0.4135 0.2531 Se
0.5865 0.9156 0.7469 Se
0.2450 0.2450 0.7477 Se
0.4135 0.0844 0.2531 Se

(17)
GGA-PBE RbBeIn3, relaxed; ΔH_f (0 K) = 1.525 eV/atom; space group = Pm-3m (221); offset from the most stable computed form = 1288.3 meV per atom
1.0
-3.9094 1.1206 5.1105
-5.2197 -1.2712 -3.7142
0.3574 -6.3075 1.6565
Be Rb In
1 1 3
direct
0.5000 0.5000 0.5000 Be
0.0000 0.0000 0.0000 Rb
0.0000 0.5000 0.0000 In
0.0000 0.0000 0.5000 In
0.5000 0.0000 0.0000 In

(18)
GGA-PBE SrCd2Au, relaxed; ΔH_f (0 K) = -0.341 eV/atom; space group = R-3m (166)
1.0
-4.1936 3.9754 1.9396
-5.7396 1.1773 -1.6804
-5.3854 -0.6277 2.7850
Au Cd Sr
1 2 1
direct
0.7500 0.7500 0.7500 Au
0.0381 0.0381 0.0381 Cd
0.4619 0.4619 0.4619 Cd
0.2500 0.2500 0.2500 Sr

(19)
GGA-PBE PrEuGa2, relaxed; ΔH_f (0 K) = -0.285 eV/atom; space group = R-3m (166); offset from the most stable computed form = 209.9 meV per atom
1.0
-3.7532 0.2901 0.7208
-2.0774 -3.1560 0.6434
-0.1808 -0.2984 9.3682
Eu Pr Ga
1 1 2
direct
0.0000 0.0000 0.0000 Eu
0.5000 0.5000 0.5000 Pr
0.7510 0.7510 0.7471 Ga
0.2490 0.2490 0.2529 Ga

(20)
GGA-PBE Y6TlSi2Te3, relaxed; DFT total energy = -73.53 eV per cell; space group = C2/m (12)
1.0
-3.3433 2.2237 -1.3300
-3.5058 -0.4669 8.0318
6.8772 6.7769 0.7694
Y Tl Si Te
6 1 2 3
direct
0.3310 0.8916 0.6620 Y
0.6748 0.5644 0.3496 Y
0.6690 0.1084 0.3380 Y
0.0099 0.2571 0.0199 Y
0.9901 0.7429 0.9801 Y
0.3252 0.4356 0.6504 Y
0.5000 0.0000 0.0000 Tl
0.8327 0.6661 0.6654 Si
0.1673 0.3339 0.3346 Si
0.5000 0.5000 0.0000 Te
0.8361 0.1688 0.6722 Te
0.1639 0.8312 0.3278 Te

(21)
GGA-PBE SrSmCuHg, relaxed; ΔH_f (0 K) = -0.215 eV/atom; space group = F-43m (216)
1.0
-1.4426 -4.3443 -2.7554
2.2297 -4.7277 1.1064
-2.8845 -3.8265 2.3631
Sr Cu Hg Sm
1 1 1 1
direct
0.0000 0.0000 0.0000 Sr
0.2500 0.2500 0.2500 Cu
0.7500 0.7500 0.7500 Hg
0.5000 0.5000 0.5000 Sm

(22)
GGA-PBE SrMoW, relaxed; ΔH_f (0 K) = 0.955 eV/atom; space group = P3m1 (156); offset from the most stable computed form = 208.5 meV per atom
1.0
3.2935 0.0000 0.0000
-1.6467 2.8522 0.0000
0.0000 0.0000 7.3431
Mo Sr W
1 1 1
direct
0.0000 0.0000 0.9452 Mo
0.6667 0.3333 0.3327 Sr
0.3333 0.6667 0.7221 W

(23)
GGA-PBE NpNiPtRh, relaxed; ΔH_f (0 K) = -0.235 eV/atom; space group = F-43m (216); offset from the most stable computed form = 184.9 meV per atom
1.0
-2.5276 -3.6331 -1.0850
-1.5769 -2.7406 3.2814
-4.4499 -0.0546 0.9800
Np Ni Rh Pt
1 1 1 1
direct
0.0000 0.0000 0.0000 Np
0.5000 0.5000 0.5000 Ni
0.7500 0.7500 0.7500 Rh
0.2500 0.2500 0.2500 Pt

(24)
GGA-PBE Co3Au, relaxed; ΔH_f (0 K) = 0.233 eV/atom; space group = R-3m (166)
1.0
-3.1516 -2.9107 -7.5737
-4.3997 -4.5867 -5.9473
-5.4337 -2.1982 -6.4350
Au Co
1 3
direct
0.0000 0.0000 0.0000 Au
0.2414 0.2414 0.2414 Co
0.5000 0.5000 0.5000 Co
0.7586 0.7586 0.7586 Co